Density functional theory data (PBE) for an optimized crystal structure of CeSmNiRh.

Geometry as CIF:
```
data_CeSmNiRh
_chemical_formula_sum 'Ce1 Sm1 Ni1 Rh1'
_space_group_name_H-M_alt 'P 1'
_space_group_IT_number 1
_cell_length_a 3.7685
_cell_length_b 4.4818
_cell_length_c 5.4185
_cell_angle_alpha 90.00
_cell_angle_beta 110.35
_cell_angle_gamma 90.00
loop_
_space_group_symop_operation_xyz
'x,y,z'
loop_
_atom_site_label
_atom_site_type_symbol
_atom_site_fract_x
_atom_site_fract_y
_atom_site_fract_z
Ce1 Ce 0.8597 0.5000 0.7193
Sm1 Sm 0.1374 0.0000 0.2747
Ni1 Ni 0.4158 0.0000 0.8316
Rh1 Rh 0.5872 0.5000 0.1744
```

- calculated total energy (eV/atom) = -6.4950
- total moment (μB/atom) = 0.076
- DFT formation energy (meV/atom) = -549
- V (Å³/atom) = 21.5